# 1
A plane-wave DFT calculation with PBE was carried out for EuYCuAg after structural relaxation.

Computed properties:
E_form	-0.18	eV/atom
Fermi-level density of states	2.056	states/eV/atom
crystal system	cubic

Structure (POSCAR):
```
EuYCuAg
1.0
7.286 0.000 0.000
0.000 7.286 0.000
0.000 0.000 7.286
Eu Y Cu Ag
4 4 4 4
Direct
0.000 0.000 0.000
0.000 0.500 0.500
0.500 0.000 0.500
0.500 0.500 0.000
0.000 0.000 0.500
0.000 0.500 0.000
0.500 0.000 0.000
0.500 0.500 0.500
0.250 0.250 0.750
0.250 0.750 0.250
0.750 0.250 0.250
0.750 0.750 0.750
0.250 0.250 0.250
0.250 0.750 0.750
0.750 0.250 0.750
0.750 0.750 0.250
```

# 2
A plane-wave DFT calculation with PBE was carried out for EuZnCuAg after structural relaxation.

Computed properties:
E_form	-0.07	eV/atom
Fermi-level density of states	1.772	states/eV/atom
crystal system	cubic

Structure (POSCAR):
```
EuZnCuAg
1.0
6.863 0.000 0.000
0.000 6.863 0.000
0.000 0.000 6.863
Eu Zn Cu Ag
4 4 4 4
Direct
0.000 0.000 0.000
0.000 0.500 0.500
0.500 0.000 0.500
0.500 0.500 0.000
0.250 0.250 0.250
0.250 0.750 0.750
0.750 0.250 0.750
0.750 0.750 0.250
0.250 0.250 0.750
0.250 0.750 0.250
0.750 0.250 0.250
0.750 0.750 0.750
0.000 0.000 0.500
0.000 0.500 0.000
0.500 0.000 0.000
0.500 0.500 0.500
```

# 3
A plane-wave DFT calculation with PBE was carried out for Cu5AgF12 after structural relaxation.

Computed properties:
ΔE_f (raw)	-1.353	eV per atom
Fermi-level density of states	0.692	states/eV/atom
crystal system	monoclinic

Structure (POSCAR):
```
Cu5AgF12
1.0
2.727 -4.971 0.000
2.727 4.971 0.000
0.000 0.000 8.847
Cu Ag F
5 1 12
Direct
0.000 0.000 0.000
0.169 0.831 0.500
0.334 0.666 0.000
0.666 0.334 0.000
0.831 0.169 0.500
0.500 0.500 0.500
0.010 0.339 0.099
0.118 0.491 0.617
0.137 0.137 0.389
0.329 0.329 0.895
0.339 0.010 0.099
0.491 0.118 0.617
0.509 0.882 0.383
0.661 0.990 0.901
0.671 0.671 0.105
0.863 0.863 0.611
0.882 0.509 0.383
0.990 0.661 0.901
```

# 4
A plane-wave DFT calculation with PBE was carried out for CuAg4F7 after structural relaxation.

Computed properties:
ΔE_f (raw)	-1.146	eV per atom
Fermi-level density of states	0.536	states/eV/atom
crystal system	monoclinic

Structure (POSCAR):
```
CuAg4F7
1.0
8.756 -1.856 0.000
8.756 1.856 0.000
-1.292 0.000 5.564
Cu Ag F
1 4 7
Direct
0.000 0.000 0.000
0.294 0.294 0.772
0.412 0.412 0.463
0.588 0.588 0.537
0.706 0.706 0.228
0.053 0.053 0.746
0.128 0.128 0.311
0.280 0.280 0.216
0.500 0.500 0.000
0.720 0.720 0.784
0.872 0.872 0.689
0.947 0.947 0.254
```

Number 1: VASP energy -6.10 eV per atom. Number 2: VASP energy -4.70 eV per atom. Number 3: VASP energy -3.90 eV per atom. Number 4: VASP energy -3.53 eV per atom.